A | # Er2SiO4, optimized geometry, DFT PBE
data_Er2SiO4
_cell_length_a 6.4900
_cell_length_b 5.4534
_cell_length_c 9.7499
_cell_angle_alpha 90.00
_cell_angle_beta 90.00
_cell_angle_gamma 90.00
_symmetry_space_group_name_H-M 'P n m a'
_symmetry_Int_Tables_number 62
loop_
_symmetry_equiv_pos_as_xyz
'x,y,z'
'-x,-y,-z'
'-x+1/2,-y,z+1/2'
'x+1/2,y,-z+1/2'
'x+1/2,-y+1/2,-z+1/2'
'-x+1/2,y+1/2,z+1/2'
'-x,y+1/2,-z'
'x,-y+1/2,z'
loop_
_atom_site_label
_atom_site_type_symbol
_atom_site_fract_x
_atom_site_fract_y
_atom_site_fract_z
Er1 Er 0.0300 0.2500 0.1882
Er2 Er 0.1091 0.2500 0.5460
Si1 Si 0.1601 0.2500 0.8359
O1 O 0.0389 0.7500 0.0530
O2 O 0.1565 0.7500 0.6204
O3 O 0.1894 0.5040 0.3708
# ρ: 8.21 g/cm3
# Magnetization: 0.000 μB per formula unit
# Crystal system: orthorhombic



B | # Er2SiO4, optimized geometry, DFT PBE
data_Er2SiO4
_cell_length_a 6.0029
_cell_length_b 6.6629
_cell_length_c 10.0391
_cell_angle_alpha 90.00
_cell_angle_beta 117.41
_cell_angle_gamma 90.00
_symmetry_space_group_name_H-M 'P 1 21/c 1'
_symmetry_Int_Tables_number 14
loop_
_symmetry_equiv_pos_as_xyz
'x,y,z'
'-x,-y,-z'
'-x,y+1/2,-z+1/2'
'x,-y+1/2,z+1/2'
loop_
_atom_site_label
_atom_site_type_symbol
_atom_site_fract_x
_atom_site_fract_y
_atom_site_fract_z
Er1 Er 0.0627 0.0739 0.2218
Er2 Er 0.2879 0.6277 0.0709
Si1 Si 0.4198 0.1646 0.1115
O1 O 0.0647 0.1052 0.6353
O2 O 0.2645 0.5403 0.5081
O3 O 0.2636 0.7455 0.7762
O4 O 0.3493 0.1695 0.4676
# ρ: 7.95 g/cm3
# Magnetization: 0.001 μB per formula unit
# Crystal system: monoclinic



Stability check: which of them is most stable? A.